1.
LaPmErHg: optimized geometry, PBE.

## Properties
The uncorrected energy is -15.45 eV for the cell shown. The calculation puts the density of states at the Fermi level at 1.448 states/eV per atom. The value obtained for the mass density is 8.9 g/cm³. For the formation enthalpy at 0 K, the calculation gives -0.23 eV/atom. The energy relative to the lowest polymorph listed for this composition comes out at 0.000 eV/atom.

a = 3.7104 Å, b = 3.7104 Å, c = 8.8801 Å
α = 90.00°, β = 90.00°, γ = 90.00°
Space group P4mm (No. 99)
Inequivalent atoms, fractional coordinates:
La1 0.0000 0.0000 0.0000
Pm1 0.5000 0.5000 0.7089
Er1 0.5000 0.5000 0.2805
Hg1 0.0000 0.0000 0.4771


2.
TcPOs2: optimized geometry, PBE.

## Properties
The uncorrected energy is -36.04 eV for the cell shown. The calculation puts the density of states at the Fermi level at 1.515 states/eV per atom. The value obtained for the mass density is 15.1 g/cm³. For the formation enthalpy at 0 K, the calculation gives 0.55 eV/atom.

a = 3.8389 Å, b = 3.8389 Å, c = 3.8053 Å
α = 90.00°, β = 90.00°, γ = 90.00°
Space group P4/mmm (No. 123)
Inequivalent atoms, fractional coordinates:
Tc1 0.0000 0.0000 0.0000
P1 0.5000 0.5000 0.0000
Os1 0.0000 0.5000 0.5000


3.
Ac2Nd4Sm3: optimized geometry, PBE.

## Properties
The uncorrected energy is -40.75 eV for the cell shown. The calculation puts the density of states at the Fermi level at 1.897 states/eV per atom. The value obtained for the mass density is 7.3 g/cm³. For the formation enthalpy at 0 K, the calculation gives 0.08 eV/atom. The energy relative to the lowest polymorph listed for this composition comes out at 0.000 eV/atom.

a = 3.7481 Å, b = 3.7481 Å, c = 27.7060 Å
α = 90.00°, β = 90.00°, γ = 120.00°
Space group P3m1 (No. 156)
Inequivalent atoms, fractional coordinates:
Ac1 0.0000 0.0000 0.0000
Ac2 0.0000 0.0000 0.2240
Nd1 0.0000 0.0000 0.3560
Nd2 0.0000 0.0000 0.5667
Nd3 0.3333 0.6667 0.6729
Nd4 0.3333 0.6667 0.8850
Sm1 0.0000 0.0000 0.7798
Sm2 0.3333 0.6667 0.1138
Sm3 0.3333 0.6667 0.4587


4.
LiPuCoSb: optimized geometry, PBE.

## Properties
The raw formation energy comes out at -0.304 eV/atom. The uncorrected energy is -114.75 eV for the cell shown. The calculation puts the density of states at the Fermi level at 1.406 states/eV per atom. The value obtained for the mass density is 10.2 g/cm³.

a = 6.5463 Å, b = 6.5463 Å, c = 6.5463 Å
α = 90.00°, β = 90.00°, γ = 90.00°
Space group F-43m (No. 216)
Inequivalent atoms, fractional coordinates:
Li1 0.0000 0.0000 0.0000
Pu1 0.2500 0.2500 0.7500
Co1 0.0000 0.0000 0.5000
Sb1 0.2500 0.2500 0.2500


5.
Rb2AuIF6: optimized geometry, PBE.

## Properties
The raw formation energy comes out at -1.745 eV/atom. The uncorrected energy is -70.87 eV for the cell shown. The calculation puts the density of states at the Fermi level at 0.000 states/eV per atom. The value obtained for the mass density is 4.2 g/cm³.

a = 6.8829 Å, b = 6.8829 Å, c = 10.1461 Å
α = 90.00°, β = 90.00°, γ = 90.00°
Space group I4/mmm (No. 139)
Inequivalent atoms, fractional coordinates:
Rb1 0.0000 0.5000 0.2500
Au1 0.0000 0.0000 0.0000
I1 0.0000 0.0000 0.5000
F1 0.0000 0.0000 0.2001
F2 0.2123 0.2123 0.5000


6.
KAlTl: optimized geometry, PBE.

## Properties
The uncorrected energy is -13.48 eV for the cell shown. The calculation puts the density of states at the Fermi level at 0.475 states/eV per atom. The value obtained for the mass density is 4.8 g/cm³. For the formation enthalpy at 0 K, the calculation gives 0.16 eV/atom. The energy relative to the lowest polymorph listed for this composition comes out at 0.140 eV/atom.

a = 3.3292 Å, b = 4.4414 Å, c = 12.6257 Å
α = 90.00°, β = 90.00°, γ = 90.00°
Space group Imm2 (No. 44)
Inequivalent atoms, fractional coordinates:
K1 0.0000 0.0000 0.0000
Al1 0.0000 0.0000 0.3034
Tl1 0.0000 0.0000 0.7024